Entry 1:
Here is a relaxed Y2ScAl crystal from Alexandria. Energies are from PBE.

The formation energy comes out at -61 kJ/mol of formula units. The magnetization comes out at 0.00 μB per atom. The calculation puts the total DFT energy (no corrections) at -47.27 eV for the cell shown.

The structure belongs to space group Amm2 (No. 38); the cell edges are 4.956, 3.471 and 12.293 Å and the angles 90.00°, 90.00° and 90.00°. The inequivalent atoms are Y at (0.000, 0.000, 0.000), Y at (0.500, 0.000, 0.325), Sc at (0.000, 0.000, 0.724) and Al at (0.500, 0.000, 0.598).

***

Entry 2:
Here is a relaxed CdOsS2Cl crystal from Alexandria. Energies are from PBE.

As for the uncorrected formation energy: 0.23 eV/atom. The polymorph energy (0 for the lowest one) is 0 meV/atom. The magnetization comes out at 0.00 μB per atom. The calculation puts the total DFT energy (no corrections) at -21.09 eV for the cell shown.

The structure belongs to space group P4/mmm (No. 123); the cell edges are 4.590, 4.590 and 5.052 Å and the angles 90.00°, 90.00° and 90.00°. The inequivalent atoms are Cd at (0.000, 0.000, 0.000), Os at (0.500, 0.500, 0.500), S at (0.000, 0.500, 0.500) and Cl at (0.500, 0.500, 0.000).

***

Entry 3:
Here is a relaxed Sm2BiTe crystal from Alexandria. Energies are from PBE.

As for the uncorrected formation energy: -0.96 eV/atom. The polymorph energy (0 for the lowest one) is 215 meV/atom. The magnetization comes out at 0.09 μB per atom. The calculation puts the total DFT energy (no corrections) at -20.31 eV for the cell shown.

The structure belongs to space group P4/mmm (No. 123); the cell edges are 3.822, 3.822 and 8.054 Å and the angles 90.00°, 90.00° and 90.00°. The inequivalent atoms are Sm at (0.000, 0.000, 0.243), Bi at (0.500, 0.500, 0.500) and Te at (0.500, 0.500, 0.000).

***

Entry 4:
Here is a relaxed RbMgAs crystal from Alexandria. Energies are from PBE.

The formation energy comes out at -70 kJ/mol of formula units. The magnetization comes out at 0.00 μB per atom. The calculation puts the total DFT energy (no corrections) at -15.88 eV for the cell shown.

The structure belongs to space group I4mm (No. 107); the cell edges are 3.885, 3.885 and 12.787 Å and the angles 90.00°, 90.00° and 90.00°. The inequivalent atoms are Rb at (0.000, 0.000, 0.000), Mg at (0.000, 0.000, 0.256) and As at (0.000, 0.000, 0.726).

***

Entry 5:
Here is a relaxed FeOs2Se crystal from Alexandria. Energies are from PBE.

As for the uncorrected formation energy: 0.60 eV/atom. The magnetization comes out at 0.56 μB per atom. The calculation puts the total DFT energy (no corrections) at -64.01 eV for the cell shown.

The structure belongs to space group Imm2 (No. 44); the cell edges are 2.935, 4.352 and 8.836 Å and the angles 90.00°, 90.00° and 90.00°. The inequivalent atoms are Fe at (0.000, 0.000, 0.000), Os at (0.000, 0.000, 0.540), Os at (0.000, 0.500, 0.773) and Se at (0.000, 0.500, 0.273).

***

Entry 6:
Here is a relaxed CeTaAl2 crystal from Alexandria. Energies are from PBE.

The formation energy comes out at -38 kJ/mol of formula units. The magnetization comes out at 0.00 μB per atom. The calculation puts the total DFT energy (no corrections) at -76.98 eV for the cell shown.

The structure belongs to space group R-3m (No. 166, hexagonal axes); the cell edges are 2.9812, 2.9812 and 30.4605 Å and the angles 90.00°, 90.00° and 120.00°. The inequivalent atoms are Ce at (0.0000, 0.0000, 0.0000), Ta at (0.0000, 0.0000, 0.5000) and Al at (0.0000, 0.0000, 0.2416).

***

> The lowest total DFT energy (no corrections) belongs to which entry?

CeTaAl2

***

Copy entry 6 word for word.
Here is a relaxed CeTaAl2 crystal from Alexandria. Energies are from PBE.

The formation energy comes out at -38 kJ/mol of formula units. The magnetization comes out at 0.00 μB per atom. The calculation puts the total DFT energy (no corrections) at -76.98 eV for the cell shown.

The structure belongs to space group R-3m (No. 166, hexagonal axes); the cell edges are 2.9812, 2.9812 and 30.4605 Å and the angles 90.00°, 90.00° and 120.00°. The inequivalent atoms are Ce at (0.0000, 0.0000, 0.0000), Ta at (0.0000, 0.0000, 0.5000) and Al at (0.0000, 0.0000, 0.2416).

***

> What is the total DFT energy (no corrections) in the fifth record?

-64.01 eV for the cell shown

***

> total DFT energy (no corrections) of number 4 (RbMgAs)?

-15.88 eV for the cell shown